Run one
Density functional theory data (PBE-GGA) for Tm2GaHg2 after structural relaxation.

Values from the calculation:
Volume = 24.19 A^3/atom

The structure in extended XYZ format:
```
5
Lattice="1.7207 -10.3375 0.0000 1.7207 10.3375 0.0000 0.0000 0.0000 3.3996" Properties=species:S:1:pos:R:3 pbc="T T T"
Tm 1.7207 8.4761 0.0000
Tm 1.7207 -8.4761 0.0000
Ga 1.7207 0.0000 1.6998
Hg 1.7207 3.9139 1.6998
Hg 1.7207 -3.9139 1.6998
```


Run two
Density functional theory data (PBE-GGA) for Tm2GaHg2 after structural relaxation.

Values from the calculation:
Volume = 23.63 A^3/atom

The structure in extended XYZ format:
```
10
Lattice="5.5130 -2.1678 0.0000 5.5130 2.1678 0.0000 -4.6804 0.0000 9.8866" Properties=species:S:1:pos:R:3 pbc="T T T"
Tm -1.5218 0.0000 3.2573
Tm 1.5195 0.0000 1.0465
Tm 4.8261 0.0000 8.8401
Tm 7.8673 0.0000 6.6293
Ga -0.0321 0.0000 6.7734
Ga 6.3776 0.0000 3.1131
Hg 1.7605 0.0000 4.4280
Hg 4.4995 0.0000 1.1070
Hg 1.8461 0.0000 8.7796
Hg 4.5851 0.0000 5.4585
```


Energetically preferred structure: run two | next structure: +0.051 eV/atom


Run one
Density functional theory data (PBE-GGA) for UGa2Hg after structural relaxation.

Values from the calculation:
Volume = 21.31 A^3/atom

The structure in extended XYZ format:
```
4
Lattice="4.5244 0.0000 0.0000 0.0000 4.5244 0.0000 0.0000 0.0000 4.1635" Properties=species:S:1:pos:R:3 pbc="T T T"
U 0.0000 0.0000 0.0000
Ga 0.0000 2.2622 2.0818
Ga 2.2622 0.0000 2.0818
Hg 2.2622 2.2622 0.0000
```


Run two
Density functional theory data (PBE-GGA) for UGa2Hg after structural relaxation.

Values from the calculation:
Volume = 21.00 A^3/atom

The structure in extended XYZ format:
```
4
Lattice="0.0000 3.4759 3.4759 3.4759 0.0000 3.4759 3.4759 3.4759 0.0000" Properties=species:S:1:pos:R:3 pbc="T T T"
U 0.0000 0.0000 0.0000
Ga 1.7380 1.7380 1.7380
Ga 5.2139 5.2139 5.2139
Hg 3.4759 3.4759 3.4759
```


Run three
Density functional theory data (PBE-GGA) for UGa2Hg after structural relaxation.

Values from the calculation:
Volume = 20.48 A^3/atom

The structure in extended XYZ format:
```
4
Lattice="2.8763 0.0000 0.0000 0.0000 2.8763 0.0000 0.0000 0.0000 9.9002" Properties=species:S:1:pos:R:3 pbc="T T T"
U 0.0000 0.0000 0.0000
Ga 1.4381 1.4381 2.2996
Ga 1.4381 1.4381 7.6006
Hg 0.0000 0.0000 4.9501
```


Energetically preferred structure: run one | next structure: +0.111 eV/atom


Run one
Density functional theory data (PBE-GGA) for V3GaHg after structural relaxation.

Values from the calculation:
Volume = 25.56 A^3/atom

The structure in extended XYZ format:
```
5
Lattice="5.0372 0.0000 0.0000 0.0000 5.0372 0.0000 0.0000 0.0000 5.0372" Properties=species:S:1:pos:R:3 pbc="T T T"
V 0.0000 0.0000 2.5186
V 0.0000 2.5186 0.0000
V 2.5186 0.0000 0.0000
Ga 2.5186 2.5186 2.5186
Hg 0.0000 0.0000 0.0000
```


Run two
Density functional theory data (PBE-GGA) for V3GaHg after structural relaxation.

Values from the calculation:
Volume = 18.86 A^3/atom

The structure in extended XYZ format:
```
5
Lattice="4.5520 0.0000 0.0000 0.0000 4.5520 0.0000 0.0000 0.0000 4.5520" Properties=species:S:1:pos:R:3 pbc="T T T"
V 0.0000 0.0000 2.2760
V 0.0000 2.2760 0.0000
V 2.2760 0.0000 0.0000
Ga 0.0000 0.0000 0.0000
Hg 2.2760 2.2760 2.2760
```


Energetically preferred structure: run two | next structure: +0.649 eV/atom


Run one
Density functional theory data (PBE-GGA) for GaHgW2 after structural relaxation.

Values from the calculation:
Volume = 18.23 A^3/atom

The structure in extended XYZ format:
```
8
Lattice="-3.6685 3.6685 2.7094 3.6685 -3.6685 2.7094 3.6685 3.6685 -2.7094" Properties=species:S:1:pos:R:3 pbc="T T T"
Ga 0.0000 0.0000 0.0000
Ga 0.0000 3.6685 1.3547
Hg 3.6685 0.0000 1.3547
Hg 0.0000 0.0000 2.7094
W 5.5027 1.6459 -0.6773
W 1.6459 1.8342 0.6773
W -1.8342 2.0226 2.0320
W 2.0226 1.8342 3.3867
```


Run two
Density functional theory data (PBE-GGA) for GaHgW2 after structural relaxation.

Values from the calculation:
Volume = 16.70 A^3/atom

The structure in extended XYZ format:
```
4
Lattice="0.0000 3.2204 3.2204 3.2204 0.0000 3.2204 3.2204 3.2204 0.0000" Properties=species:S:1:pos:R:3 pbc="T T T"
Ga 0.0000 0.0000 0.0000
Hg 3.2204 3.2204 3.2204
W 1.6102 1.6102 1.6102
W 4.8306 4.8306 4.8306
```


Energetically preferred structure: run two | next structure: +0.203 eV/atom


Run one
Density functional theory data (PBE-GGA) for GaHg3W after structural relaxation.

Values from the calculation:
Volume = 30.56 A^3/atom

The structure in extended XYZ format:
```
5
Lattice="5.3462 0.0000 0.0000 0.0000 5.3462 0.0000 0.0000 0.0000 5.3462" Properties=species:S:1:pos:R:3 pbc="T T T"
Ga 0.0000 0.0000 0.0000
Hg 0.0000 2.6731 2.6731
Hg 2.6731 0.0000 2.6731
Hg 2.6731 2.6731 0.0000
W 2.6731 2.6731 2.6731
```


Run two
Density functional theory data (PBE-GGA) for GaHg3W after structural relaxation.

Values from the calculation:
Volume = 27.93 A^3/atom

The structure in extended XYZ format:
```
5
Lattice="5.1879 0.0000 0.0000 0.0000 5.1879 0.0000 0.0000 0.0000 5.1879" Properties=species:S:1:pos:R:3 pbc="T T T"
Ga 0.0000 0.0000 0.0000
Hg 0.0000 0.0000 2.5939
Hg 0.0000 2.5939 0.0000
Hg 2.5939 0.0000 0.0000
W 2.5939 2.5939 2.5939
```


Energetically preferred structure: run one | next structure: +0.358 eV/atom


Run one
Density functional theory data (PBE-GGA) for Y2Ga2Hg after structural relaxation.

Values from the calculation:
Volume = 23.12 A^3/atom

The structure in extended XYZ format:
```
10
Lattice="5.5008 -2.2383 0.0000 5.5008 2.2383 0.0000 -4.8360 0.0000 9.3890" Properties=species:S:1:pos:R:3 pbc="T T T"
Y -1.5192 0.0000 3.0205
Y 1.5295 0.0000 0.9188
Y 4.6360 0.0000 8.4703
Y 7.6848 0.0000 6.3685
Ga 1.9784 0.0000 4.0571
Ga 4.6154 0.0000 0.9958
Ga 1.5501 0.0000 8.3932
Ga 4.1872 0.0000 5.3319
Hg -0.0840 0.0000 6.1623
Hg 6.2495 0.0000 3.2268
```


Run two
Density functional theory data (PBE-GGA) for Y2Ga2Hg after structural relaxation.

Values from the calculation:
Volume = 25.29 A^3/atom

The structure in extended XYZ format:
```
10
Lattice="8.4492 0.0000 0.0000 0.0000 8.4492 0.0000 0.0000 0.0000 3.5427" Properties=species:S:1:pos:R:3 pbc="T T T"
Y 1.5588 2.6659 0.0000
Y 2.6659 6.8905 0.0000
Y 5.7834 1.5588 0.0000
Y 6.8905 5.7834 0.0000
Ga 0.9322 5.1568 1.7713
Ga 3.2924 0.9322 1.7713
Ga 5.1568 7.5170 1.7713
Ga 7.5170 3.2924 1.7713
Hg 0.0000 0.0000 0.0000
Hg 4.2246 4.2246 0.0000
```


Energetically preferred structure: run one | next structure: +0.204 eV/atom


Run one
Density functional theory data (PBE-GGA) for Y2Ga2Hg after structural relaxation.

Values from the calculation:
Volume = 26.17 A^3/atom

The structure in extended XYZ format:
```
5
Lattice="-2.8284 2.8284 4.0888 2.8284 -2.8284 4.0888 2.8284 2.8284 -4.0888" Properties=species:S:1:pos:R:3 pbc="T T T"
Y 2.8284 0.0000 2.0444
Y 0.0000 2.8284 2.0444
Ga 0.0000 0.0000 1.2207
Ga 0.0000 0.0000 6.9568
Hg 0.0000 0.0000 4.0888
```


Run two
Density functional theory data (PBE-GGA) for Y2Ga2Hg after structural relaxation.

Values from the calculation:
Volume = 22.85 A^3/atom

The structure in extended XYZ format:
```
10
Lattice="7.1429 0.0000 0.0000 0.0000 7.1429 0.0000 0.0000 0.0000 4.4790" Properties=species:S:1:pos:R:3 pbc="T T T"
Y 1.2218 2.3497 0.0000
Y 2.3497 5.9211 0.0000
Y 4.7932 1.2218 0.0000
Y 5.9211 4.7932 0.0000
Ga 0.9200 4.4914 2.2395
Ga 2.6515 0.9200 2.2395
Ga 4.4914 6.2229 2.2395
Ga 6.2229 2.6515 2.2395
Hg 0.0000 0.0000 2.2395
Hg 3.5714 3.5714 2.2395
```


Energetically preferred structure: run two | next structure: +0.425 eV/atom


Run one
Density functional theory data (PBE-GGA) for Y2Ga3Hg after structural relaxation.

Values from the calculation:
Volume = 21.64 A^3/atom

The structure in extended XYZ format:
```
12
Lattice="0.0000 4.5109 7.7883 3.6958 0.0000 7.7883 3.6958 4.5109 0.0000" Properties=species:S:1:pos:R:3 pbc="T T T"
Y 5.5514 4.5109 7.7883
Y 1.8479 2.2554 3.8942
Y 5.5437 6.7663 11.6825
Y 1.8402 4.5109 7.7883
Ga 3.6958 2.3100 6.5196
Ga 3.6958 4.5109 5.2630
Ga 3.6958 2.3100 9.0571
Ga 3.6958 6.7117 6.5196
Ga 3.6958 4.5109 10.3136
Ga 3.6958 6.7117 9.0571
Hg 3.6958 4.5109 2.6001
Hg 3.6958 4.5109 12.9765
```


Run two
Density functional theory data (PBE-GGA) for Y2Ga3Hg after structural relaxation.

Values from the calculation:
Volume = 22.56 A^3/atom

The structure in extended XYZ format:
```
6
Lattice="-1.9925 2.1921 7.7471 1.9925 -2.1921 7.7471 1.9925 2.1921 -7.7471" Properties=species:S:1:pos:R:3 pbc="T T T"
Y 0.0000 0.0000 0.0000
Y 0.0000 2.1921 4.3386
Ga 1.9925 0.0000 2.9209
Ga 1.9925 0.0000 5.3650
Ga 0.0000 0.0000 6.7252
Hg 0.0000 0.0000 9.3156
```


Energetically preferred structure: run one | next structure: +0.023 eV/atom